Record 1
This record from Alexandria via LeMat-Bulk describes a relaxed structure of Ac4Tl5Ir2. The functional is PBE-GGA.

Output
- Formation energy: -417 meV per atom

a b c (Å): 8.342 4.058 10.124
angles (deg): 90.00 93.27 90.00
Space group P2/m (No. 10)
Unique sites:
Ac  0.184  0.000  0.340 x2
Ac  0.213  0.000  0.933 x2
Tl  0.159  0.500  0.639 x2
Tl  0.453  0.500  0.166 x2
Tl  0.500  0.500  0.500 x1
Ir  0.075  0.500  0.136 x2

=====

Record 2
This record from Alexandria via LeMat-Bulk describes a relaxed structure of LaPm5As6. The functional is PBE-GGA.

Output
- Formation energy: -1533 meV per atom

a b c (Å): 7.384 12.786 7.382
angles (deg): 90.00 109.48 90.00
Space group C2/m (No. 12)
Unique sites:
La  0.000  0.000  0.000 x2
Pm  0.000  0.166  0.500 x4
Pm  0.000  0.333  0.000 x4
Pm  0.000  0.500  0.500 x2
As  0.247  0.500  0.252 x4
As  0.248  0.332  0.748 x8

=====

Record 3
This record from Alexandria via LeMat-Bulk describes a relaxed structure of Nd3FeC3. The functional is PBE-GGA.

Output
- Formation energy: -97 meV per atom

a b c (Å): 6.850 5.340 6.860
angles (deg): 90.00 101.61 90.00
Space group P2_1/m (No. 11)
Unique sites:
Nd  0.086  0.250  0.331 x2
Nd  0.330  0.750  0.086 x2
Nd  0.392  0.750  0.608 x2
Fe  0.201  0.250  0.798 x2
C  0.057  0.750  0.324 x2
C  0.323  0.250  0.056 x2
C  0.374  0.250  0.626 x2

=====

Record 4
This record from Alexandria via LeMat-Bulk describes a relaxed structure of Be2GaSe. The functional is PBE-GGA.

Output
- Energy relative to the lowest polymorph listed for this composition: 48.5 kJ/mol of atoms
- E_form (uncorrected): 0.627 eV per atom

a b c (Å): 6.135 6.135 6.135
angles (deg): 90.00 90.00 90.00
Space group Fm-3m (No. 225)
Unique sites:
Be  0.250  0.250  0.250 x8
Ga  0.000  0.000  0.000 x4
Se  0.000  0.000  0.500 x4

=====

| no. | calculated volume (A^3/atom) |
| --- | --- |
| 1 | 31.1 |
| 2 | 27.4 |
| 3 | 17.6 |
| 4 | 14.4 |